[1]
# Ni2OsPt

Ni2OsPt after structural relaxation (GGA-PBEsol, the Alexandria database).

a b c (Å): 2.639 2.639 7.157
angles (deg): 90.00 90.00 90.00
Fractional coordinates of all 4 atoms:
Pt 0.500 0.500 0.500
Os 0.500 0.500 0.000
Ni 0.000 0.000 0.242
Ni 0.000 0.000 0.758

**Formation enthalpy at 0 K**: 0.01 eV per atom

[2]
# NiOs2Pt

NiOs2Pt after structural relaxation (GGA-PBEsol, the Alexandria database).

a b c (Å): 2.687 4.608 4.617
angles (deg): 99.98 106.92 90.00
Fractional coordinates of all 4 atoms:
Ni 0.000 0.500 0.000
Os 0.747 0.739 0.495
Os 0.253 0.261 0.505
Pt 0.500 0.000 0.000

**Formation enthalpy at 0 K**: 0.15 eV per atom

[3]
# NiOsPt2

NiOsPt2 after structural relaxation (GGA-PBEsol, the Alexandria database).

a b c (Å): 4.298 4.298 4.298
angles (deg): 60.00 60.00 60.00
Fractional coordinates of all 4 atoms:
Pt 0.250 0.250 0.250
Pt 0.750 0.750 0.750
Ni 0.000 0.000 0.000
Os 0.500 0.500 0.500

**Formation enthalpy at 0 K**: 0.38 eV per atom

[4]
# RbNi2Os

RbNi2Os after structural relaxation (GGA-PBEsol, the Alexandria database).

a b c (Å): 4.493 4.493 4.493
angles (deg): 60.00 60.00 60.00
Fractional coordinates of all 4 atoms:
Ni 0.750 0.750 0.750
Ni 0.250 0.250 0.250
Os 0.500 0.500 0.500
Rb 0.000 0.000 0.000

**Formation enthalpy at 0 K**: 1.63 eV per atom

[5]
# Re2NiOsSe

Re2NiOsSe after structural relaxation (GGA-PBEsol, the Alexandria database).

a b c (Å): 4.417 4.705 4.705
angles (deg): 90.00 90.00 90.00
Fractional coordinates of all 5 atoms:
Re 0.000 0.000 0.500
Re 0.000 0.500 0.000
Se 0.500 0.500 0.500
Os 0.000 0.000 0.000
Ni 0.500 0.000 0.000

**Electronic total energy**: -38.5 eV per formula unit

[6]
# NiOs2Rh

NiOs2Rh after structural relaxation (GGA-PBEsol, the Alexandria database).

a b c (Å): 4.229 4.229 4.229
angles (deg): 60.00 60.00 60.00
Fractional coordinates of all 4 atoms:
Ni 0.500 0.500 0.500
Os 0.750 0.750 0.750
Os 0.000 0.000 0.000
Rh 0.250 0.250 0.250

**Formation enthalpy at 0 K**: 0.48 eV per atom

[7]
# NiOs2Rh

NiOs2Rh after structural relaxation (GGA-PBEsol, the Alexandria database).

a b c (Å): 2.713 4.273 5.249
angles (deg): 114.02 104.97 90.00
Fractional coordinates of all 4 atoms:
Rh 0.500 0.000 0.000
Os 0.718 0.718 0.436
Os 0.282 0.282 0.564
Ni 0.000 0.500 0.000

**Formation enthalpy at 0 K**: 0.31 eV per atom

[8]
# NiOs2Rh

NiOs2Rh after structural relaxation (GGA-PBEsol, the Alexandria database).

a b c (Å): 3.736 3.736 4.577
angles (deg): 114.09 114.09 90.00
Fractional coordinates of all 4 atoms:
Os 0.000 0.000 0.000
Os 0.750 0.250 0.500
Rh 0.500 0.500 0.000
Ni 0.250 0.750 0.500

**Formation enthalpy at 0 K**: 0.13 eV per atom

[9]
# NiOs2Rh

NiOs2Rh after structural relaxation (GGA-PBEsol, the Alexandria database).

a b c (Å): 2.679 3.710 5.261
angles (deg): 90.00 90.00 90.00
Fractional coordinates of all 4 atoms:
Ni 0.000 0.500 0.751
Os 0.500 0.000 0.996
Os 0.000 0.500 0.243
Rh 0.500 0.000 0.511

**Formation enthalpy at 0 K**: 0.08 eV per atom

[10]
# NiOs2Rh

NiOs2Rh after structural relaxation (GGA-PBEsol, the Alexandria database).

a b c (Å): 2.669 4.463 4.463
angles (deg): 90.00 90.00 90.00
Fractional coordinates of all 4 atoms:
Os 0.000 0.000 0.500
Os 0.000 0.500 0.000
Rh 0.500 0.500 0.500
Ni 0.500 0.000 0.000

**Formation enthalpy at 0 K**: 0.50 eV per atom

[11]
# NiOs2Rh

NiOs2Rh after structural relaxation (GGA-PBEsol, the Alexandria database).

a b c (Å): 3.713 3.713 3.795
angles (deg): 90.00 90.00 90.00
Fractional coordinates of all 4 atoms:
Os 0.000 0.500 0.000
Os 0.500 0.000 0.000
Rh 0.500 0.500 0.500
Ni 0.000 0.000 0.500

**Formation enthalpy at 0 K**: 0.23 eV per atom

[12]
# NiOs2Rh

NiOs2Rh after structural relaxation (GGA-PBEsol, the Alexandria database).

a b c (Å): 2.637 4.608 4.608
angles (deg): 110.81 90.00 90.00
Fractional coordinates of all 4 atoms:
Rh 0.500 0.000 0.000
Os 0.000 0.000 0.500
Os 0.000 0.500 0.000
Ni 0.500 0.500 0.500

**Formation enthalpy at 0 K**: 0.21 eV per atom

[13]
# NiOs2Rh

NiOs2Rh after structural relaxation (GGA-PBEsol, the Alexandria database).

a b c (Å): 2.623 2.623 8.906
angles (deg): 90.00 90.00 118.17
Fractional coordinates of all 4 atoms:
Os 0.500 0.500 0.750
Os 0.000 0.000 0.010
Ni 0.500 0.500 0.249
Rh 0.000 0.000 0.491

**Formation enthalpy at 0 K**: 0.49 eV per atom

[14]
# NiOsRu

NiOsRu after structural relaxation (GGA-PBEsol, the Alexandria database).

a b c (Å): 2.656 2.656 5.725
angles (deg): 103.41 103.41 90.00
Fractional coordinates of all 3 atoms:
Os 0.666 0.666 0.332
Ni 0.001 0.001 0.001
Ru 0.334 0.334 0.667

**Formation enthalpy at 0 K**: 0.15 eV per atom

[15]
# Ni2OsRu

Ni2OsRu after structural relaxation (GGA-PBEsol, the Alexandria database).

a b c (Å): 2.605 4.397 4.490
angles (deg): 99.92 106.87 90.00
Fractional coordinates of all 4 atoms:
Ni 0.749 0.240 0.498
Ni 0.002 0.012 0.003
Ru 0.251 0.745 0.502
Os 0.498 0.503 0.997

**Formation enthalpy at 0 K**: 0.10 eV per atom

[16]
# Ni2OsRu

Ni2OsRu after structural relaxation (GGA-PBEsol, the Alexandria database).

a b c (Å): 2.637 3.628 5.077
angles (deg): 90.00 90.00 90.00
Fractional coordinates of all 4 atoms:
Ru 0.500 0.500 0.749
Ni 0.000 0.000 0.012
Ni 0.500 0.500 0.240
Os 0.000 0.000 0.499

**Formation enthalpy at 0 K**: 0.08 eV per atom

[17]
# NiOsRu

NiOsRu after structural relaxation (GGA-PBEsol, the Alexandria database).

a b c (Å): 2.669 3.652 4.499
angles (deg): 113.94 107.25 90.00
Fractional coordinates of all 3 atoms:
Ni 0.999 0.999 0.998
Os 0.333 0.333 0.666
Ru 0.668 0.668 0.335

**Formation enthalpy at 0 K**: 0.06 eV per atom

[18]
# NiOsRu

NiOsRu after structural relaxation (GGA-PBEsol, the Alexandria database).

a b c (Å): 3.038 3.038 4.646
angles (deg): 109.08 109.08 90.00
Fractional coordinates of all 3 atoms:
Ru 0.340 0.340 0.680
Ni 0.002 0.002 0.005
Os 0.658 0.658 0.316

**Formation enthalpy at 0 K**: 0.29 eV per atom

[19]
# Ni2OsRu

Ni2OsRu after structural relaxation (GGA-PBEsol, the Alexandria database).

a b c (Å): 3.605 3.605 4.495
angles (deg): 113.64 113.64 90.00
Fractional coordinates of all 4 atoms:
Ru 0.250 0.750 0.500
Ni 0.500 0.500 0.000
Ni 0.750 0.250 0.500
Os 0.000 0.000 0.000

**Formation enthalpy at 0 K**: 0.08 eV per atom

[20]
# NiOs2Ru

NiOs2Ru after structural relaxation (GGA-PBEsol, the Alexandria database).

a b c (Å): 2.622 2.622 8.881
angles (deg): 90.00 90.00 117.80
Fractional coordinates of all 4 atoms:
Ni 0.500 0.500 0.251
Os 0.500 0.500 0.748
Os 0.000 0.000 0.010
Ru 0.000 0.000 0.492

**Formation enthalpy at 0 K**: 0.59 eV per atom

Which theoretical density belongs to each record? In order, 16.747; 19.579; 18.906; 10.174; 11.895; 16.835; 16.886; 17.253; 17.214; 16.937; 17.201; 17.197; 16.663; 15.236; 14.017; 13.969; 15.332; 15.289; 14.101; 16.604 g cm⁻³.